Record 1
Here is a relaxed structure of CdHgS2 from Alexandria. Energies are from PBE.

a b c (Å): 5.962 5.962 7.299
angles (deg): 65.89 65.89 90.00
Fractional positions:
Hg (0.000, 0.000, 0.000)
Hg (0.750, 0.250, 0.500)
Cd (0.250, 0.750, 0.500)
Cd (0.500, 0.500, 0.000)
S (0.375, 0.379, 0.750)
S (0.129, 0.625, 0.250)
S (0.621, 0.125, 0.250)
S (0.875, 0.871, 0.750)

## Properties
ΔE to the lowest computed polymorph = 0 meV/atom
raw total energy = -2.7506 eV/atom
ΔE_f (raw) = -0.38 eV/atom


Record 2
Here is a relaxed structure of In2HgAu2 from Alexandria. Energies are from PBE.

a b c (Å): 3.939 3.939 8.320
angles (deg): 76.31 76.31 90.00
Fractional positions:
In (0.608, 0.608, 0.784)
In (0.392, 0.392, 0.216)
Au (0.250, 0.750, 0.500)
Au (0.750, 0.250, 0.500)
Hg (0.000, 0.000, 0.000)

## Properties
energy relative to the elements = -0.04 eV per atom
raw total energy = -2.5086 eV/atom


Record 3
Here is a relaxed structure of Tb2Er3Al from Alexandria. Energies are from PBE.

a b c (Å): 5.269 6.448 10.143
angles (deg): 90.00 90.00 90.00
Fractional positions:
Tb (0.000, 0.441, 0.802)
Tb (0.500, 0.589, 0.605)
Tb (0.500, 0.089, 0.395)
Tb (0.000, 0.941, 0.198)
Er (0.000, 0.906, 0.569)
Er (0.500, 0.587, 0.269)
Er (0.500, 0.215, 0.043)
Er (0.500, 0.087, 0.731)
Er (0.500, 0.715, 0.957)
Er (0.000, 0.406, 0.431)
Al (0.000, 0.964, 0.883)
Al (0.000, 0.464, 0.117)

## Properties
ΔE to the lowest computed polymorph = 12 meV/atom
energy relative to the elements = -0.08 eV per atom
raw total energy = -4.5322 eV/atom


Record 4
Here is a relaxed structure of Mg5In6Sn2 from Alexandria. Energies are from PBE.

a b c (Å): 4.537 10.636 13.782
angles (deg): 90.00 90.00 90.00
Fractional positions:
Sn (0.000, 0.628, 0.730)
Sn (0.000, 0.872, 0.230)
Sn (0.000, 0.372, 0.270)
Sn (0.000, 0.128, 0.770)
In (0.000, 0.597, 0.413)
In (0.000, 0.097, 0.087)
In (0.500, 0.788, 0.370)
In (0.000, 0.845, 0.577)
In (0.000, 0.403, 0.587)
In (0.500, 0.212, 0.630)
In (0.000, 0.155, 0.423)
In (0.000, 0.903, 0.913)
In (0.000, 0.345, 0.923)
In (0.000, 0.655, 0.077)
In (0.500, 0.288, 0.130)
In (0.500, 0.712, 0.870)
Mg (0.500, 0.568, 0.226)
Mg (0.500, 0.000, 0.500)
Mg (0.500, 0.932, 0.726)
Mg (0.500, 0.133, 0.925)
Mg (0.500, 0.367, 0.425)
Mg (0.500, 0.867, 0.075)
Mg (0.500, 0.432, 0.774)
Mg (0.500, 0.633, 0.575)
Mg (0.500, 0.068, 0.274)
Mg (0.500, 0.500, 0.000)

## Properties
energy relative to the elements = -0.01 eV per atom
raw total energy = -2.5074 eV/atom


Record 5
Here is a relaxed structure of BaLiOs2 from Alexandria. Energies are from PBE.

a b c (Å): 2.860 2.860 10.121
angles (deg): 90.00 90.00 116.41
Fractional positions:
Os (0.000, 0.000, 0.530)
Os (0.000, 0.000, 0.970)
Li (0.500, 0.500, 0.750)
Ba (0.500, 0.500, 0.250)

## Properties
ΔE to the lowest computed polymorph = 964 meV/atom
energy relative to the elements = 1.20 eV per atom
raw total energy = -5.3735 eV/atom


Record 6
Here is a relaxed structure of ZrHCl from Alexandria. Energies are from PBE.

a b c (Å): 3.346 3.346 10.089
angles (deg): 90.00 90.00 120.00
Fractional positions:
Zr (0.667, 0.333, 0.352)
Zr (0.333, 0.667, 0.648)
H (0.667, 0.333, 0.556)
H (0.333, 0.667, 0.444)
Cl (0.333, 0.667, 0.176)
Cl (0.667, 0.333, 0.824)

## Properties
raw total energy = -5.6212 eV/atom


Record 7
Here is a relaxed structure of SiNi2HgN from Alexandria. Energies are from PBE.

a b c (Å): 4.799 3.917 4.799
angles (deg): 90.00 90.00 90.00
Fractional positions:
N (0.000, 0.500, 0.000)
Hg (0.000, 0.000, 0.000)
Ni (0.000, 0.000, 0.500)
Ni (0.500, 0.000, 0.000)
Si (0.500, 0.500, 0.500)

## Properties
raw total energy = -3.2814 eV/atom
ΔE_f (raw) = 1.84 eV/atom


Record 8
Here is a relaxed structure of EuGd2Ho from Alexandria. Energies are from PBE.

a b c (Å): 3.550 3.550 12.699
angles (deg): 81.96 81.96 60.00
Each line ends with the local moment (μB).
Fractional positions:
Gd (0.091, 0.091, 0.726)  -7.24
Gd (0.909, 0.909, 0.274)  -7.24
Ho (0.500, 0.500, 0.500)  0.07
Eu (0.000, 0.000, 0.000)  -7.09

## Properties
ΔE to the lowest computed polymorph = 99 meV/atom
energy relative to the elements = 0.14 eV per atom
raw total energy = -10.6103 eV/atom